# 1
VASP calculation (GGA-PBE) on KNiW2 after structural relaxation.

The structure belongs to space group Cmm2 (No. 35); the cell edges are 3.275, 4.485 and 9.924 Å and the angles 90.00°, 90.00° and 90.00°. The asymmetric unit holds K at (0.000, 0.000, 0.000), Ni at (0.000, 0.500, 0.725), W at (0.000, 0.000, 0.537) and W at (0.000, 0.500, 0.318).

The offset from the most stable computed form comes out at 0.0 meV per atom. The value obtained for the total energy is -7.4800 eV/atom. The value obtained for the formation enthalpy at 0 K is 0.716 eV per atom.

---

# 2
VASP calculation (GGA-PBE) on OsPt3 after structural relaxation.

The structure belongs to space group Imm2 (No. 44); the cell edges are 2.767, 9.166 and 4.842 Å and the angles 90.00°, 90.00° and 90.00°. The asymmetric unit holds Os at (0.000, 0.000, 0.000), Pt at (0.000, 0.259, 0.673) and Pt at (0.000, 0.500, 0.014).

The value obtained for the total energy is -7.1785 eV/atom. The value obtained for the formation enthalpy at 0 K is 0.160 eV per atom.

---

# 3
VASP calculation (GGA-PBE) on SrTbPd2 after structural relaxation.

The structure belongs to space group P4/mmm (No. 123); the cell edges are 3.594, 3.594 and 7.424 Å and the angles 90.00°, 90.00° and 90.00°. The asymmetric unit holds Sr at (0.000, 0.000, 0.000), Tb at (0.000, 0.000, 0.500) and Pd at (0.500, 0.500, 0.290).

The offset from the most stable computed form comes out at 0.0 meV per atom. The value obtained for the total energy is -4.9307 eV/atom. The value obtained for the formation enthalpy at 0 K is -0.756 eV per atom.

---

# 4
VASP calculation (GGA-PBE) on Zr2OsBr after structural relaxation.

The structure belongs to space group Amm2 (No. 38); the cell edges are 4.704, 3.196 and 10.413 Å and the angles 90.00°, 90.00° and 90.00°. The asymmetric unit holds Zr at (0.000, 0.000, 0.000), Zr at (0.500, 0.000, 0.255), Os at (0.000, 0.000, 0.736) and Br at (0.500, 0.000, 0.516).

As for the raw formation energy: -116.5 meV per atom. The offset from the most stable computed form comes out at 375.2 meV per atom. The value obtained for the total energy is -7.6162 eV/atom.

---

# 5
VASP calculation (GGA-PBE) on Sm6Y8Er after structural relaxation.

The structure belongs to space group R-3 (No. 148, hexagonal axes); the cell edges are 9.1172, 9.1172 and 20.8595 Å and the angles 90.00°, 90.00° and 120.00°. The asymmetric unit holds Sm at (0.0642, 0.2489, 0.2090), Y at (0.0000, 0.0000, 0.0771), Y at (0.0817, 0.5546, 0.3076) and Er at (0.0000, 0.0000, 0.5000).

The value obtained for the total energy is -5.5190 eV/atom. The value obtained for the formation enthalpy at 0 K is 0.120 eV per atom.

---

# 6
VASP calculation (GGA-PBE) on ZrTc3B after structural relaxation.

The structure belongs to space group Pm-3m (No. 221); the cell edges are 4.786, 4.786 and 4.786 Å and the angles 90.00°, 90.00° and 90.00°. The asymmetric unit holds Zr at (0.000, 0.000, 0.000), Tc at (0.000, 0.000, 0.500) and B at (0.500, 0.500, 0.500).

The offset from the most stable computed form comes out at 2981.6 meV per atom. The value obtained for the total energy is -6.4251 eV/atom. The value obtained for the formation enthalpy at 0 K is 2.840 eV per atom.

---

# 7
VASP calculation (GGA-PBE) on CaPmInRh after structural relaxation.

The structure belongs to space group F-43m (No. 216); the cell edges are 7.312, 7.312 and 7.312 Å and the angles 90.00°, 90.00° and 90.00°. The asymmetric unit holds Ca at (0.000, 0.000, 0.000), Pm at (0.000, 0.000, 0.500), In at (0.250, 0.250, 0.250) and Rh at (0.250, 0.250, 0.750).

The value obtained for the total energy is -4.6257 eV/atom. The value obtained for the formation enthalpy at 0 K is -0.415 eV per atom.

---

# 8
VASP calculation (GGA-PBE) on GaBr3 after structural relaxation.

The structure belongs to space group Fm-3m (No. 225); the cell edges are 7.591, 7.591 and 7.591 Å and the angles 90.00°, 90.00° and 90.00°. The asymmetric unit holds Ga at (0.000, 0.000, 0.000), Br at (0.000, 0.000, 0.500) and Br at (0.250, 0.250, 0.250).

As for the raw formation energy: 124.9 meV per atom. The value obtained for the total energy is -1.8865 eV/atom.

---

# 9
VASP calculation (GGA-PBE) on Tb6Pr2Ho3Tm after structural relaxation.

The structure belongs to space group C2/m (No. 12); the cell edges are 6.184, 10.704 and 11.840 Å and the angles 90.00°, 99.98° and 90.00°. The asymmetric unit holds Tb at (0.247, 0.000, 0.246), Tb at (0.249, 0.334, 0.247), Pr at (0.000, 0.334, 0.500), Ho at (0.000, 0.166, 0.000), Ho at (0.000, 0.500, 0.000) and Tm at (0.000, 0.000, 0.500).

The value obtained for the total energy is -4.6117 eV/atom. The value obtained for the formation enthalpy at 0 K is 0.017 eV per atom.

---

# 10
VASP calculation (GGA-PBE) on TiTeO3 after structural relaxation.

The structure belongs to space group Pm-3m (No. 221); the cell edges are 4.159, 4.159 and 4.159 Å and the angles 90.00°, 90.00° and 90.00°. The asymmetric unit holds Ti at (0.000, 0.000, 0.000), Te at (0.500, 0.500, 0.500) and O at (0.000, 0.500, 0.500).

As for the raw formation energy: -575.3 meV per atom. The value obtained for the total energy is -5.7576 eV/atom.

---

# 11
VASP calculation (GGA-PBE) on YMn2Ru after structural relaxation.

The structure belongs to space group Immm (No. 71); the cell edges are 3.241, 4.633 and 9.574 Å and the angles 90.00°, 90.00° and 90.00°. The asymmetric unit holds Y at (0.000, 0.000, 0.000), Mn at (0.000, 0.500, 0.219) and Ru at (0.000, 0.000, 0.500).

The offset from the most stable computed form comes out at 107.3 meV per atom. The value obtained for the total energy is -8.3252 eV/atom. The value obtained for the formation enthalpy at 0 K is 0.195 eV per atom.

---

# 12
VASP calculation (GGA-PBE) on Tm4TlIn5 after structural relaxation.

The structure belongs to space group P4/mmm (No. 123); the cell edges are 3.592, 3.592 and 20.507 Å and the angles 90.00°, 90.00° and 90.00°. The asymmetric unit holds Tm at (0.000, 0.000, 0.098), Tm at (0.000, 0.000, 0.293), Tl at (0.000, 0.000, 0.500), In at (0.500, 0.500, 0.000), In at (0.500, 0.500, 0.196) and In at (0.500, 0.500, 0.390).

The value obtained for the total energy is -3.7139 eV/atom. The value obtained for the formation enthalpy at 0 K is -0.319 eV per atom.

---

# 13
VASP calculation (GGA-PBE) on MgAlAg after structural relaxation.

The structure belongs to space group Amm2 (No. 38); the cell edges are 8.857, 5.481 and 9.232 Å and the angles 90.00°, 90.00° and 90.00°. The asymmetric unit holds Mg at (0.186, 0.000, 0.000), Mg at (0.313, 0.000, 0.667), Al at (0.000, 0.000, 0.490), Al at (0.500, 0.000, 0.164), Al at (0.500, 0.242, 0.920), Ag at (0.000, 0.247, 0.734) and Ag at (0.260, 0.000, 0.341).

The value obtained for the total energy is -2.8731 eV/atom. The value obtained for the formation enthalpy at 0 K is -0.144 eV per atom.

---

# 14
VASP calculation (GGA-PBE) on Mn8Mo after structural relaxation.

The structure belongs to space group I4/mmm (No. 139); the cell edges are 7.613, 7.613 and 3.539 Å and the angles 90.00°, 90.00° and 90.00°. The asymmetric unit holds Mn at (0.000, 0.344, 0.000), Mn at (0.178, 0.178, 0.500) and Mo at (0.000, 0.000, 0.000).

The value obtained for the total energy is -9.2422 eV/atom. The value obtained for the formation enthalpy at 0 K is 0.112 eV per atom.

---

# 15
VASP calculation (GGA-PBE) on LiDy2Pb3Se6 after structural relaxation.

The structure belongs to space group C2/m (No. 12); the cell edges are 18.782, 4.193 and 8.705 Å and the angles 90.00°, 106.89° and 90.00°. The asymmetric unit holds Li at (0.000, 0.000, 0.000), Dy at (0.162, 0.500, 0.330), Pb at (0.000, 0.000, 0.500), Pb at (0.162, 0.500, 0.842), Se at (0.006, 0.500, 0.238), Se at (0.161, 0.000, 0.101) and Se at (0.174, 0.000, 0.567).

As for the raw formation energy: -1076.1 meV per atom. The value obtained for the total energy is -4.6720 eV/atom.

---

# 16
VASP calculation (GGA-PBE) on TbDyHo5 after structural relaxation.

The structure belongs to space group Immm (No. 71); the cell edges are 5.741, 8.564 and 11.861 Å and the angles 90.00°, 90.00° and 90.00°. The asymmetric unit holds Tb at (0.000, 0.000, 0.000), Dy at (0.000, 0.000, 0.500), Ho at (0.000, 0.000, 0.255), Ho at (0.000, 0.322, 0.500) and Ho at (0.000, 0.500, 0.000).

The offset from the most stable computed form comes out at 929.1 meV per atom. The value obtained for the total energy is -3.4633 eV/atom. The value obtained for the formation enthalpy at 0 K is 1.125 eV per atom.

---

# 17
VASP calculation (GGA-PBE) on Ac2NdGe4Pt3 after structural relaxation.

The structure belongs to space group P-4m2 (No. 115); the cell edges are 4.467, 4.467 and 11.450 Å and the angles 90.00°, 90.00° and 90.00°. The asymmetric unit holds Ac at (0.000, 0.500, 0.228), Nd at (0.000, 0.000, 0.500), Ge at (0.000, 0.000, 0.000), Ge at (0.000, 0.500, 0.666), Ge at (0.500, 0.500, 0.000), Pt at (0.000, 0.500, 0.888) and Pt at (0.500, 0.500, 0.500).

The value obtained for the total energy is -5.8495 eV/atom. The value obtained for the formation enthalpy at 0 K is -0.892 eV per atom.

---

# 18
VASP calculation (GGA-PBE) on AcCdInPb after structural relaxation.

The structure belongs to space group Pmmm (No. 47); the cell edges are 4.870, 4.928 and 5.058 Å and the angles 90.00°, 90.00° and 90.00°. The asymmetric unit holds Ac at (0.000, 0.000, 0.000), Cd at (0.000, 0.500, 0.500), In at (0.500, 0.000, 0.500) and Pb at (0.500, 0.500, 0.000).

The offset from the most stable computed form comes out at 0.0 meV per atom. The value obtained for the total energy is -3.2305 eV/atom. The value obtained for the formation enthalpy at 0 K is -0.363 eV per atom.

---

# 19
VASP calculation (GGA-PBE) on AlInRe2 after structural relaxation.

The structure belongs to space group Cmmm (No. 65); the cell edges are 3.051, 4.732 and 9.005 Å and the angles 90.00°, 90.00° and 90.00°. The asymmetric unit holds Al at (0.000, 0.000, 0.000), In at (0.000, 0.000, 0.500) and Re at (0.000, 0.500, 0.233).

The offset from the most stable computed form comes out at 285.5 meV per atom. The value obtained for the total energy is -7.4567 eV/atom. The value obtained for the formation enthalpy at 0 K is 0.388 eV per atom.

---

# 20
VASP calculation (GGA-PBE) on NbP2ClO after structural relaxation.

The structure belongs to space group P4/mmm (No. 123); the cell edges are 4.968, 4.968 and 3.937 Å and the angles 90.00°, 90.00° and 90.00°. The asymmetric unit holds Nb at (0.000, 0.000, 0.000), P at (0.000, 0.500, 0.000), Cl at (0.500, 0.500, 0.500) and O at (0.000, 0.000, 0.500).

As for the raw formation energy: -218.7 meV per atom. The offset from the most stable computed form comes out at 0.0 meV per atom. The value obtained for the total energy is -5.7576 eV/atom.

---

# 21
VASP calculation (GGA-PBE) on CrFeAu2 after structural relaxation.

The structure belongs to space group Cm (No. 8); the cell edges are 9.146, 3.891 and 4.012 Å and the angles 90.00°, 115.91° and 90.00°. The asymmetric unit holds Cr at (0.000, 0.000, 0.000), Fe at (0.252, 0.000, 0.752), Au at (0.005, 0.500, 0.505) and Au at (0.252, 0.500, 0.252).

The value obtained for the total energy is -5.8668 eV/atom. The value obtained for the formation enthalpy at 0 K is 0.293 eV per atom.

---

# 22
VASP calculation (GGA-PBE) on YHo2ZrAs4 after structural relaxation.

The structure belongs to space group P2/m (No. 10); the cell edges are 6.993, 4.035 and 6.994 Å and the angles 90.00°, 109.30° and 90.00°. The asymmetric unit holds Y at (0.000, 0.000, 0.000), Ho at (0.500, 0.000, 0.500), Ho at (0.500, 0.500, 0.000), Zr at (0.000, 0.500, 0.500), As at (0.242, 0.000, 0.741) and As at (0.246, 0.500, 0.256).

The value obtained for the total energy is -6.7764 eV/atom. The value obtained for the formation enthalpy at 0 K is -1.431 eV per atom.

---

# 23
VASP calculation (GGA-PBE) on CuAg2Pt after structural relaxation.

The structure belongs to space group Fm-3m (No. 225); the cell edges are 6.363, 6.363 and 6.363 Å and the angles 90.00°, 90.00° and 90.00°. The asymmetric unit holds Cu at (0.000, 0.000, 0.000), Ag at (0.250, 0.250, 0.250) and Pt at (0.000, 0.000, 0.500).

The offset from the most stable computed form comes out at 129.9 meV per atom. The value obtained for the total energy is -3.8496 eV/atom. The value obtained for the formation enthalpy at 0 K is 0.110 eV per atom.

---

# 24
VASP calculation (GGA-PBE) on Sr2Sb2I after structural relaxation.

The structure belongs to space group P4/mbm (No. 127); the cell edges are 9.185, 9.185 and 4.329 Å and the angles 90.00°, 90.00° and 90.00°. The asymmetric unit holds Sr at (0.183, 0.317, 0.000), Sb at (0.107, 0.607, 0.500) and I at (0.000, 0.000, 0.500).

As for the raw formation energy: -827.9 meV per atom. The offset from the most stable computed form comes out at 131.2 meV per atom. The value obtained for the total energy is -3.4596 eV/atom.

---

# 25
VASP calculation (GGA-PBE) on CeZnSb after structural relaxation.

The structure belongs to space group R-3m (No. 166, hexagonal axes); the cell edges are 4.8866, 4.8866 and 23.8647 Å and the angles 90.00°, 90.00° and 120.00°. The asymmetric unit holds Ce at (0.0000, 0.0000, 0.0763), Zn at (0.0000, 0.0000, 0.3316) and Sb at (0.0000, 0.0000, 0.2105).

As for the raw formation energy: -368.6 meV per atom. The value obtained for the total energy is -4.1453 eV/atom.

---

# 26
VASP calculation (GGA-PBE) on CdPd2Rh after structural relaxation.

The structure belongs to space group P4/mmm (No. 123); the cell edges are 4.719, 4.719 and 2.897 Å and the angles 90.00°, 90.00° and 90.00°. The asymmetric unit holds Cd at (0.000, 0.000, 0.000), Pd at (0.000, 0.500, 0.500) and Rh at (0.500, 0.500, 0.000).

The value obtained for the total energy is -4.7350 eV/atom. The value obtained for the formation enthalpy at 0 K is -0.072 eV per atom.